Na2MoCl2O2: optimized geometry, GGA+U.

Computed properties:
V in Å³/cell: 133.7
E_tot in eV for the cell shown: -33.612

Lattice parameters (Å, degrees): 3.8333 6.7108 6.4009 59.59 72.58 73.40
Last column: nearest neighbours and their distance in Å.
Element x y z (fractional)
Na: 0.7779 0.6719 0.7723  3 O 2.33-2.36
Na: 0.2221 0.3281 0.2277  3 O 2.33-2.36
Cl: 0.5769 0.1692 0.6769  2 Mo 2.60
Cl: 0.4231 0.8308 0.3231  2 Mo 2.60
Mo: 0.0000 0.0000 0.0000  2 O 1.85
O: 0.1539 0.7299 0.9624  1 Mo 1.85
O: 0.8461 0.2701 0.0376  1 Mo 1.85